Material: NaNb3In
Method: DFT, PBEsol
State: optimized geometry

Output
- Magnetic moment: 0.00 μB per cell
- Energy of formation from the pure elements: 1.9492 eV per atom
- Space group: Pm-3m (221)

The structure in POSCAR format:
```
NaNb3In
1.0
-3.0564 -3.2496 -2.4566
3.7542 -1.0546 -3.2758
1.5815 -3.7769 3.0284
Nb Na In
3 1 1
Direct
0.0000 0.5000 0.0000
0.0000 0.0000 0.5000
0.5000 0.0000 0.0000
0.5000 0.5000 0.5000
0.0000 0.0000 0.0000
```